Here is an optimized crystal structure of KVSn2F8 from Alexandria via LeMat-Bulk. Energies are from PBE+U.

## Properties
**ρ**: 3.69 g/cm3
**SG**: P-1, No. 2
**Fermi-level density of states**: 0.00 states/eV/f.u.
**Total DFT energy (no corrections)**: -0.1916 Ha/atom

Cell and atoms, written as extended XYZ:
```
12
Lattice="5.415 0.100 0.246 0.158 5.393 -0.075 0.442 -0.136 7.414" Properties=species:S:1:pos:R:3 pbc="T T T"
K 0.221 -0.068 3.707
V 0.000 0.000 0.000
Sn 3.036 2.637 5.730
Sn 2.979 2.720 1.855
F 1.504 4.829 1.209
F 4.436 4.004 0.766
F 4.653 1.274 1.771
F 4.512 0.528 6.375
F 1.579 1.353 6.819
F 1.363 4.083 5.814
F 3.842 3.675 3.541
F 2.174 1.682 4.044
```